Version 1
The following is a DFT calculation (PBE) of a relaxed BaMgNiSn2 crystal.

CIF file:
```
data_BaMgNiSn2
_chemical_formula_sum 'Ba1 Mg1 Ni1 Sn2'
_space_group_name_H-M_alt 'P 4/m m m'
_space_group_IT_number 123
_space_group_name_Hall '-P 4 2'
_cell_length_a 5.094
_cell_length_b 5.094
_cell_length_c 5.560
_cell_angle_alpha 90.00
_cell_angle_beta 90.00
_cell_angle_gamma 90.00
loop_
_atom_site_label
_atom_site_fract_x
_atom_site_fract_y
_atom_site_fract_z
Ba1 0.000 0.000 0.000
Mg1 0.500 0.500 0.000
Ni1 0.000 0.000 0.500
Sn1 0.000 0.500 0.500
```

Computed properties:
Fermi-level density of states (states/eV per cell): 2.26
Density (kg/m³): 5268



Version 2
The following is a DFT calculation (PBE) of a relaxed BaMgNiSn2 crystal.

CIF file:
```
data_BaMgNiSn2
_chemical_formula_sum 'Ba1 Mg1 Ni1 Sn2'
_space_group_name_H-M_alt 'P 4/m m m'
_space_group_IT_number 123
_space_group_name_Hall '-P 4 2'
_cell_length_a 5.125
_cell_length_b 5.125
_cell_length_c 5.049
_cell_angle_alpha 90.00
_cell_angle_beta 90.00
_cell_angle_gamma 90.00
loop_
_atom_site_label
_atom_site_fract_x
_atom_site_fract_y
_atom_site_fract_z
Ba1 0.000 0.000 0.000
Mg1 0.500 0.500 0.000
Ni1 0.500 0.500 0.500
Sn1 0.000 0.500 0.500
```

Computed properties:
Fermi-level density of states (states/eV per cell): 2.95
Density (kg/m³): 5732



Bottom line: version 2, by a margin of 200 meV/atom.



Version 1
The following is a DFT calculation (PBE) of a relaxed Ba2SrMgNi crystal.

CIF file:
```
data_Ba2SrMgNi
_chemical_formula_sum 'Ba2 Sr1 Mg1 Ni1'
_space_group_name_H-M_alt 'P 4/m m m'
_space_group_IT_number 123
_space_group_name_Hall '-P 4 2'
_cell_length_a 6.045
_cell_length_b 6.045
_cell_length_c 5.861
_cell_angle_alpha 90.00
_cell_angle_beta 90.00
_cell_angle_gamma 90.00
loop_
_atom_site_label
_atom_site_fract_x
_atom_site_fract_y
_atom_site_fract_z
Ba1 0.000 0.500 0.000
Sr1 0.000 0.000 0.500
Mg1 0.500 0.500 0.500
Ni1 0.000 0.000 0.000
```

Computed properties:
Fermi-level density of states (states/eV per cell): 3.65
Density (kg/m³): 3452



Version 2
The following is a DFT calculation (PBE) of a relaxed Ba2SrMgNi crystal.

CIF file:
```
data_Ba2SrMgNi
_chemical_formula_sum 'Ba2 Sr1 Mg1 Ni1'
_space_group_name_H-M_alt 'P 4/m m m'
_space_group_IT_number 123
_space_group_name_Hall '-P 4 2'
_cell_length_a 6.135
_cell_length_b 6.135
_cell_length_c 5.320
_cell_angle_alpha 90.00
_cell_angle_beta 90.00
_cell_angle_gamma 90.00
loop_
_atom_site_label
_atom_site_fract_x
_atom_site_fract_y
_atom_site_fract_z
Ba1 0.000 0.500 0.000
Sr1 0.000 0.000 0.500
Mg1 0.500 0.500 0.500
Ni1 0.500 0.500 0.000
```

Computed properties:
Fermi-level density of states (states/eV per cell): 4.61
Density (kg/m³): 3693



Bottom line: version 1, by a margin of 11 meV/atom.



Version 1
The following is a DFT calculation (PBE) of a relaxed Ba2MgO crystal.

CIF file:
```
data_Ba2MgO
_chemical_formula_sum 'Ba8 Mg4 O4'
_space_group_name_H-M_alt 'F m -3 m'
_space_group_IT_number 225
_space_group_name_Hall '-F 4 2 3'
_cell_length_a 7.969
_cell_length_b 7.969
_cell_length_c 7.969
_cell_angle_alpha 90.00
_cell_angle_beta 90.00
_cell_angle_gamma 90.00
loop_
_atom_site_label
_atom_site_fract_x
_atom_site_fract_y
_atom_site_fract_z
Ba1 0.250 0.250 0.250
Mg1 0.000 0.000 0.000
O1 0.000 0.000 0.500
```

Computed properties:
Fermi-level density of states (states/eV per cell): 24.48
Density (kg/m³): 4134



Version 2
The following is a DFT calculation (PBE) of a relaxed Ba2MgO crystal.

CIF file:
```
data_Ba2MgO
_chemical_formula_sum 'Ba8 Mg4 O4'
_space_group_name_H-M_alt 'I -4 2 d'
_space_group_IT_number 122
_space_group_name_Hall 'I -4 2bw'
_cell_length_a 7.882
_cell_length_b 7.882
_cell_length_c 9.980
_cell_angle_alpha 90.00
_cell_angle_beta 90.00
_cell_angle_gamma 90.00
loop_
_atom_site_label
_atom_site_fract_x
_atom_site_fract_y
_atom_site_fract_z
Ba1 0.131 0.250 0.125
Mg1 0.000 0.000 0.500
O1 0.000 0.000 0.000
```

Computed properties:
Fermi-level density of states (states/eV per cell): 5.59
Density (kg/m³): 3374



Bottom line: version 2, by a margin of 879 meV/atom.



Version 1
The following is a DFT calculation (PBE) of a relaxed BaMgPO2 crystal.

CIF file:
```
data_BaMgPO2
_chemical_formula_sum 'Ba1 Mg1 P1 O2'
_space_group_name_H-M_alt 'P 4/m m m'
_space_group_IT_number 123
_space_group_name_Hall '-P 4 2'
_cell_length_a 4.422
_cell_length_b 4.422
_cell_length_c 6.652
_cell_angle_alpha 90.00
_cell_angle_beta 90.00
_cell_angle_gamma 90.00
loop_
_atom_site_label
_atom_site_fract_x
_atom_site_fract_y
_atom_site_fract_z
Ba1 0.000 0.000 0.000
Mg1 0.500 0.500 0.500
P1 0.000 0.000 0.500
O1 0.000 0.500 0.000
```

Computed properties:
Fermi-level density of states (states/eV per cell): 3.38
Density (kg/m³): 2867



Version 2
The following is a DFT calculation (PBE) of a relaxed BaMgPO2 crystal.

CIF file:
```
data_BaMgPO2
_chemical_formula_sum 'Ba1 Mg1 P1 O2'
_space_group_name_H-M_alt 'P 4/m m m'
_space_group_IT_number 123
_space_group_name_Hall '-P 4 2'
_cell_length_a 4.322
_cell_length_b 4.322
_cell_length_c 4.914
_cell_angle_alpha 90.00
_cell_angle_beta 90.00
_cell_angle_gamma 90.00
loop_
_atom_site_label
_atom_site_fract_x
_atom_site_fract_y
_atom_site_fract_z
Ba1 0.000 0.000 0.000
Mg1 0.500 0.500 0.500
P1 0.500 0.500 0.000
O1 0.000 0.500 0.500
```

Computed properties:
Fermi-level density of states (states/eV per cell): 5.22
Density (kg/m³): 4063



Bottom line: version 2, by a margin of 876 meV/atom.



Version 1
The following is a DFT calculation (PBE) of a relaxed Ba4MgRh4O12 crystal.

CIF file:
```
data_Ba4MgRh4O12
_chemical_formula_sum 'Ba8 Mg2 Rh8 O24'
_space_group_name_H-M_alt 'C 1 m 1'
_space_group_IT_number 8
_cell_length_a 10.693
_cell_length_b 5.713
_cell_length_c 10.213
_cell_angle_alpha 90.00
_cell_angle_beta 99.05
_cell_angle_gamma 90.00
loop_
_space_group_symop_operation_xyz
'x,y,z'
'x,-y,z'
'x+1/2,y+1/2,z'
'x+1/2,-y+1/2,z'
loop_
_atom_site_label
_atom_site_fract_x
_atom_site_fract_y
_atom_site_fract_z
Ba1 0.000 0.000 0.000
Ba2 0.038 0.500 0.337
Ba3 0.284 0.000 0.794
Ba4 0.416 0.500 0.570
Mg1 0.264 0.500 0.189
Rh1 0.099 0.500 0.663
Rh2 0.168 0.500 0.932
Rh3 0.236 0.000 0.442
Rh4 0.270 0.000 0.174
O1 0.061 0.269 0.805
O2 0.076 0.500 0.089
O3 0.113 0.000 0.267
O4 0.134 0.237 0.538
O5 0.272 0.500 0.774
O6 0.285 0.260 0.042
O7 0.313 0.246 0.327
O8 0.400 0.000 0.584
```

Computed properties:
Fermi-level density of states (states/eV per cell): 26.73
Density (kg/m³): 6346



Version 2
The following is a DFT calculation (PBE) of a relaxed Ba4MgRh4O12 crystal.

CIF file:
```
data_Ba4MgRh4O12
_chemical_formula_sum 'Ba4 Mg1 Rh4 O12'
_space_group_name_H-M_alt 'P 3 m 1'
_space_group_IT_number 156
_cell_length_a 5.7662
_cell_length_b 5.7662
_cell_length_c 10.8385
_cell_angle_alpha 90.00
_cell_angle_beta 90.00
_cell_angle_gamma 120.00
loop_
_space_group_symop_operation_xyz
'x,y,z'
'-y,x-y,z'
'-x+y,-x,z'
'-y,-x,z'
'-x+y,y,z'
'x,x-y,z'
loop_
_atom_site_label
_atom_site_fract_x
_atom_site_fract_y
_atom_site_fract_z
Ba1 0.0000 0.0000 0.0000
Ba2 0.0000 0.0000 0.4198
Ba3 0.3333 0.6667 0.7950
Ba4 0.6667 0.3333 0.1963
Mg1 0.3333 0.6667 0.5457
Rh1 0.3333 0.6667 0.0728
Rh2 0.3333 0.6667 0.3231
Rh3 0.6667 0.3333 0.5781
Rh4 0.6667 0.3333 0.8402
O1 0.0033 0.5016 0.4557
O2 0.1814 0.3627 0.2006
O3 0.3765 0.1882 0.7102
O4 0.5066 0.0132 0.9705
```

Computed properties:
Fermi-level density of states (states/eV per cell): 16.12
Density (kg/m³): 6264



Bottom line: version 1, by a margin of 132 meV/atom.



Version 1
The following is a DFT calculation (PBE) of a relaxed Ba4MgRh4O12 crystal.

CIF file:
```
data_Ba4MgRh4O12
_chemical_formula_sum 'Ba4 Mg1 Rh4 O12'
_space_group_name_H-M_alt 'P -6 m 2'
_space_group_IT_number 187
_space_group_name_Hall 'P -6 2'
_cell_length_a 5.8355
_cell_length_b 5.8355
_cell_length_c 10.2122
_cell_angle_alpha 90.00
_cell_angle_beta 90.00
_cell_angle_gamma 120.00
loop_
_atom_site_label
_atom_site_fract_x
_atom_site_fract_y
_atom_site_fract_z
Ba1 0.0000 0.0000 0.0000
Ba2 0.3333 0.6667 0.3044
Ba3 0.6667 0.3333 0.5000
Mg1 0.3333 0.6667 0.0000
Rh1 0.0000 0.0000 0.3662
Rh2 0.6667 0.3333 0.1412
O1 0.1524 0.3047 0.5000
O2 0.3248 0.1624 0.2439
O3 0.5176 0.0352 0.0000
```

Computed properties:
Fermi-level density of states (states/eV per cell): 17.76
Density (kg/m³): 6491



Version 2
The following is a DFT calculation (PBE) of a relaxed Ba4MgRh4O12 crystal.

CIF file:
```
data_Ba4MgRh4O12
_chemical_formula_sum 'Ba8 Mg2 Rh8 O24'
_space_group_name_H-M_alt 'C 1 m 1'
_space_group_IT_number 8
_cell_length_a 10.715
_cell_length_b 5.829
_cell_length_c 10.302
_cell_angle_alpha 90.00
_cell_angle_beta 91.87
_cell_angle_gamma 90.00
loop_
_space_group_symop_operation_xyz
'x,y,z'
'x,-y,z'
'x+1/2,y+1/2,z'
'x+1/2,-y+1/2,z'
loop_
_atom_site_label
_atom_site_fract_x
_atom_site_fract_y
_atom_site_fract_z
Ba1 0.000 0.000 0.000
Ba2 0.044 0.000 0.430
Ba3 0.253 0.500 0.636
Ba4 0.354 0.000 0.191
Mg1 0.471 0.000 0.770
Rh1 0.187 0.500 0.041
Rh2 0.194 0.500 0.308
Rh3 0.243 0.000 0.832
Rh4 0.376 0.000 0.522
O1 0.016 0.500 0.390
O2 0.024 0.500 0.946
O3 0.125 0.272 0.174
O4 0.225 0.000 0.648
O5 0.268 0.249 0.422
O6 0.276 0.271 0.928
O7 0.338 0.500 0.184
O8 0.464 0.235 0.633
```

Computed properties:
Fermi-level density of states (states/eV per cell): 17.75
Density (kg/m³): 6079



Bottom line: version 2, by a margin of 40 meV/atom.